# DyHo2Cd2In2

An optimized crystal structure of DyHo2Cd2In2 (PBE, Alexandria via LeMat-Bulk).

```
7
Lattice="2.466 1.424 8.884 -2.466 1.424 8.884 0.000 -2.848 8.884" Properties=species:S:1:pos:R:3 pbc="T T T"
Dy 0.000 0.000 0.000
Ho 0.000 0.000 3.416
Ho 0.000 0.000 23.237
Cd 0.000 0.000 10.555
Cd 0.000 0.000 16.097
In 0.000 0.000 6.890
In 0.000 0.000 19.763
```

Summary:
E_tot, eV per atom: -3.248
Formation energy from the elements, eV per atom: -0.24
Spin magnetization, μB/f.u.: 0.00


# La2Dy2HoCd5

An optimized crystal structure of La2Dy2HoCd5 (PBE, Alexandria via LeMat-Bulk).

```
20
Lattice="10.726 0.000 0.000 0.000 10.726 0.000 0.000 0.000 4.787" Properties=species:S:1:pos:R:3 pbc="T T T"
La 1.882 3.481 0.000
La 3.481 8.844 0.000
La 7.245 1.882 0.000
La 8.844 7.245 0.000
Dy 1.326 6.689 0.000
Dy 4.037 1.326 0.000
Dy 6.689 9.400 0.000
Dy 9.400 4.037 0.000
Ho 0.000 0.000 0.000
Ho 5.363 5.363 0.000
Cd 0.000 5.363 2.393
Cd 0.714 8.645 2.393
Cd 2.082 0.714 2.393
Cd 3.281 6.077 2.393
Cd 4.649 3.281 2.393
Cd 5.363 0.000 2.393
Cd 6.077 7.445 2.393
Cd 7.445 4.649 2.393
Cd 8.645 10.013 2.393
Cd 10.013 2.082 2.393
```

Summary:
E_tot, eV per atom: -3.030
Formation energy from the elements, eV per atom: -0.21
Spin magnetization, μB/f.u.: 0.00


# LiDyHo2Cd4

An optimized crystal structure of LiDyHo2Cd4 (PBE, Alexandria via LeMat-Bulk).

```
8
Lattice="2.591 1.496 8.487 -2.591 1.496 8.487 0.000 -2.992 8.487" Properties=species:S:1:pos:R:3 pbc="T T T"
Li 0.000 0.000 0.000
Dy 0.000 0.000 12.730
Ho 0.000 0.000 6.399
Ho 0.000 0.000 19.062
Cd 0.000 0.000 3.067
Cd 0.000 0.000 9.505
Cd 0.000 0.000 15.956
Cd 0.000 0.000 22.393
```

Summary:
E_tot, eV per atom: -2.694
Formation energy from the elements, eV per atom: -0.28
Spin magnetization, μB/f.u.: 0.00


# LiDy2HoCd4

An optimized crystal structure of LiDy2HoCd4 (PBE, Alexandria via LeMat-Bulk).

```
8
Lattice="2.596 1.499 8.478 -2.596 1.499 8.478 0.000 -2.998 8.478" Properties=species:S:1:pos:R:3 pbc="T T T"
Li 0.000 0.000 0.000
Dy 0.000 0.000 6.386
Dy 0.000 0.000 19.050
Ho 0.000 0.000 12.718
Cd 0.000 0.000 3.080
Cd 0.000 0.000 9.499
Cd 0.000 0.000 15.936
Cd 0.000 0.000 22.355
```

Summary:
E_tot, eV per atom: -2.702
Formation energy from the elements, eV per atom: -0.28
Spin magnetization, μB/f.u.: 0.00


# LiDyHoCd

An optimized crystal structure of LiDyHoCd (PBE, Alexandria via LeMat-Bulk).

```
4
Lattice="0.000 3.709 3.709 3.709 0.000 3.709 3.709 3.709 0.000" Properties=species:S:1:pos:R:3 pbc="T T T"
Li 0.000 0.000 0.000
Dy 5.564 5.564 5.564
Ho 1.855 1.855 1.855
Cd 3.709 3.709 3.709
```

Summary:
E_tot, eV per atom: -3.115
Formation energy from the elements, eV per atom: -0.11
Spin magnetization, μB/f.u.: 0.00


# DyHoLuCd

An optimized crystal structure of DyHoLuCd (PBE, Alexandria via LeMat-Bulk).

```
4
Lattice="0.000 3.816 3.816 3.816 0.000 3.816 3.816 3.816 0.000" Properties=species:S:1:pos:R:3 pbc="T T T"
Dy 0.000 0.000 0.000
Ho 3.816 3.816 3.816
Lu 1.908 1.908 1.908
Cd 5.723 5.723 5.723
```

Summary:
E_tot, eV per atom: -3.688
Formation energy from the elements, eV per atom: -0.03
Spin magnetization, μB/f.u.: 0.00


# DyHoMgCd

An optimized crystal structure of DyHoMgCd (PBE, Alexandria via LeMat-Bulk).

```
4
Lattice="0.000 3.754 3.754 3.754 0.000 3.754 3.754 3.754 0.000" Properties=species:S:1:pos:R:3 pbc="T T T"
Dy 0.000 0.000 0.000
Ho 3.754 3.754 3.754
Mg 1.877 1.877 1.877
Cd 5.631 5.631 5.631
```

Summary:
E_tot, eV per atom: -3.120
Formation energy from the elements, eV per atom: -0.20
Spin magnetization, μB/f.u.: 0.00


# DyHoCdNi

An optimized crystal structure of DyHoCdNi (PBE, Alexandria via LeMat-Bulk).

```
4
Lattice="0.000 3.563 3.563 3.563 0.000 3.563 3.563 3.563 0.000" Properties=species:S:1:pos:R:3 pbc="T T T"
Dy 0.000 0.000 0.000
Ho 3.563 3.563 3.563
Cd 1.782 1.782 1.782
Ni 5.345 5.345 5.345
```

Summary:
Relative energy among the computed polymorphs, eV per formula unit: 0.42
E_tot, eV per atom: -4.238
Formation energy from the elements, eV per atom: -0.27
Spin magnetization, μB/f.u.: 0.00